Material: PdRu2Au
Method: DFT, PBE
State: optimized geometry

magnetization = 0.0 μB per formula unit
excess energy over the best structure of this formula in the dataset = 0.0 kJ per mole of atoms
energy of formation from the pure elements = 0.56 eV/atom
calculated total energy = -6.20 eV per atom

Structure (CIF):
```
data_PdRu2Au
_chemical_formula_sum 'Pd1 Ru2 Au1'
_symmetry_space_group_name_H-M 'P 1'
_symmetry_Int_Tables_number 1
_symmetry_space_group_name_Hall 'P 1'
_cell_length_a 4.434
_cell_length_b 4.434
_cell_length_c 4.434
_cell_angle_alpha 60.00
_cell_angle_beta 60.00
_cell_angle_gamma 60.00
loop_
_atom_site_label
_atom_site_fract_x
_atom_site_fract_y
_atom_site_fract_z
Ru1 0.250 0.250 0.250
Ru2 0.750 0.750 0.750
Pd1 0.000 0.000 0.000
Au1 0.500 0.500 0.500
```